1.
16
Lattice="-5.6610 -3.6246 -2.0660 -0.7910 -2.4886 6.5295 -5.8239 7.8030 2.2684" Properties=species:S:1:pos:R:3 comment="PBE-GGA Dy14YTl, optimized geometry" formation_energy_ev_per_fu=-0.15 dos_at_fermi_per_ev_cell=22.38 pbc="T T T"
Dy -7.9640 0.4189 0.1431
Dy -2.4545 0.5521 2.7559
Dy -8.3604 -0.8258 3.4070
Dy -5.2817 -1.2590 1.7223
Dy -2.8499 -0.6896 6.0173
Dy -5.7759 3.2307 7.1570
Dy -2.2198 -1.6690 0.0420
Dy -5.4482 -4.7279 2.2753
Dy -8.2105 2.6650 2.8631
Dy -8.6039 1.4216 6.1250
Dy -5.1337 2.2314 1.1748
Dy -5.6765 -2.5006 4.9848
Dy -5.3820 4.4743 3.8961
Dy -5.5302 0.9866 4.4387
Y -2.6170 -2.9146 3.3067
Tl -5.0516 -3.4825 -0.9904

2.
5
Lattice="4.4501 0.0000 0.0000 0.0000 4.4501 0.0000 0.0000 0.0000 4.4501" Properties=species:S:1:pos:R:3 comment="PBE-GGA Tc3TeCl, optimized geometry" polymorph_energy_kcal_per_mol_atoms=0.00 dos_at_fermi_per_ev_cell=6.66 pbc="T T T"
Tc 2.2251 0.0000 0.0000
Tc 0.0000 2.2251 0.0000
Tc 0.0000 0.0000 2.2251
Cl 0.0000 0.0000 0.0000
Te 2.2251 2.2251 2.2251

3.
5
Lattice="5.4963 0.0000 0.0000 0.0000 5.4963 0.0000 0.0000 0.0000 5.5359" Properties=species:S:1:pos:R:3 comment="PBE-GGA AgSnTe2I, optimized geometry" polymorph_energy_kcal_per_mol_atoms=0.00 dos_at_fermi_per_ev_cell=3.73 pbc="T T T"
Sn 2.7482 2.7482 2.7680
Te 0.0000 2.7482 0.0000
Te 2.7482 0.0000 0.0000
Ag 0.0000 0.0000 0.0000
I 0.0000 0.0000 2.7680

4.
11
Lattice="6.1256 -0.4574 -0.3471 -0.6446 6.8542 0.6112 -0.6446 2.4342 6.4365" Properties=species:S:1:pos:R:3 comment="PBE-GGA PuPa8Co2, optimized geometry" formation_energy_ev_per_fu=-0.47 dos_at_fermi_per_ev_cell=17.62 pbc="T T T"
Pa 4.0518 4.3842 0.8225
Pa 0.7846 6.8583 2.6998
Pa 4.0518 1.9726 4.0008
Pa 0.3884 7.8440 5.9517
Pa 0.7175 3.9047 2.9627
Pa 4.1190 4.9263 3.7379
Pa 0.7846 4.4468 5.8781
Pa 4.4481 0.9870 0.7489
Co 2.2779 6.3022 4.7818
Co 2.5586 2.5288 1.9187
Pu 0.0000 0.0000 0.0000

5.
14
Lattice="5.7456 0.0000 0.0000 0.0000 5.7456 0.0000 0.0000 0.0000 5.7456" Properties=species:S:1:pos:R:3 comment="PBE-GGA Zn3AgO3, optimized geometry" energy_ev_per_atom=-4.000 dos_at_fermi_per_ev_cell=3.02 pbc="T T T"
Ag 0.0000 0.0000 0.0000
Ag 2.8728 2.8728 2.8728
O 0.0000 4.3092 2.8728
O 4.3092 2.8728 0.0000
O 2.8728 0.0000 4.3092
O 0.0000 1.4364 2.8728
O 1.4364 2.8728 0.0000
O 2.8728 0.0000 1.4364
Zn 1.4364 0.0000 2.8728
Zn 0.0000 2.8728 4.3092
Zn 2.8728 1.4364 0.0000
Zn 2.8728 4.3092 0.0000
Zn 0.0000 2.8728 1.4364
Zn 4.3092 0.0000 2.8728

6.
12
Lattice="5.8603 0.0000 0.0000 0.0000 5.7705 0.0000 0.0000 -2.8852 6.1047" Properties=species:S:1:pos:R:3 comment="PBE-GGA LaBAsRh3, optimized geometry" formation_energy_ev_per_fu=-4.41 dos_at_fermi_per_ev_cell=4.31 pbc="T T T"
B 1.4651 0.0000 0.1752
B 4.3952 2.8852 5.9295
As 1.4651 0.0000 4.6435
As 4.3952 2.8852 1.4612
La 1.4651 2.8852 2.9558
La 4.3952 0.0000 3.1489
Rh 4.3952 2.8852 3.8526
Rh 1.4651 0.0000 2.2521
Rh 0.0000 1.4430 0.0000
Rh 2.9301 1.4430 0.0000
Rh 2.9301 4.3275 0.0000
Rh 0.0000 4.3275 0.0000

7.
12
Lattice="-2.9643 0.9466 -3.2276 -0.2699 -3.3572 -0.7367 -10.0748 -1.1466 8.9167" Properties=species:S:1:pos:R:3 comment="PBE-GGA ZrAlTc, optimized geometry" polymorph_energy_kcal_per_mol_atoms=3.18 formation_energy_ev_per_fu=-1.11 dos_at_fermi_per_ev_cell=7.18 pbc="T T T"
Tc -5.1790 -2.2527 4.0959
Tc -0.0066 -0.0008 0.0059
Tc -9.9264 -0.4878 5.8598
Tc -5.0240 -1.5931 1.0331
Zr -3.4435 -0.3919 3.0476
Zr -8.6158 -2.6438 7.1376
Zr -1.6194 -1.8475 0.9455
Zr -6.5219 -0.7423 5.7721
Al -3.3678 0.2587 0.0551
Al -8.5401 -1.9932 4.1451
Al -6.4447 -0.0915 2.7783
Al -11.6171 -2.3434 6.8683

8.
8
Lattice="-0.3529 -4.7908 2.0754 -1.4884 -4.0379 -2.9771 9.7001 -4.8286 -2.8995" Properties=species:S:1:pos:R:3 comment="PBE-GGA CsZnIn6, optimized geometry" formation_energy_ev_per_fu=-0.22 dos_at_fermi_per_ev_cell=4.65 pbc="T T T"
In -0.3446 -6.0472 -0.8236
In 8.2033 -7.6101 -2.9776
In 6.3003 -10.3172 -2.9533
In 0.8286 -9.3168 -1.5745
In 1.5584 -3.3400 -0.8479
In 7.0301 -4.3405 -2.2267
Cs 3.9294 -6.8286 -1.9006
Zn 0.0000 0.0000 0.0000

9.
16
Lattice="7.2306 0.0000 0.0000 0.0000 7.3346 0.0636 -3.6153 -3.6101 5.1171" Properties=species:S:1:pos:R:3 comment="PBE-GGA Sr4Th3NbN8, optimized geometry" energy_ev_per_atom=-7.778 dos_at_fermi_per_ev_cell=3.09 pbc="T T T"
Th -1.8077 1.8623 2.5903
Th 3.6153 3.6673 0.0318
Th 1.8077 1.8623 2.5903
N 5.5623 2.1171 0.1172
N -1.9470 1.6075 5.0635
N 1.9470 1.6075 5.0635
N 1.6683 2.1171 0.1172
N 0.0000 3.5516 2.3093
N 0.0000 0.2225 2.7111
N 3.6153 0.1730 2.8713
N 3.6153 3.5020 2.4696
Sr -1.8077 -1.8051 2.5585
Sr 3.6153 0.0000 0.0000
Sr 0.0000 0.0000 0.0000
Sr 1.8077 -1.8051 2.5585
Nb 0.0000 3.6673 0.0318

10.
4
Lattice="-4.5752 -1.7248 -0.6227 -2.0165 -2.9268 3.4150 -3.6725 1.6783 2.8268" Properties=species:S:1:pos:R:3 comment="PBE-GGA LiTiInPb, optimized geometry" formation_energy_ev_per_fu=0.05 dos_at_fermi_per_ev_cell=4.66 pbc="T T T"
In -7.6982 -2.2300 4.2143
Ti 0.0000 0.0000 0.0000
Li -5.1321 -1.4867 2.8095
Pb -2.5661 -0.7433 1.4048

11.
5
Lattice="-0.2598 -3.7672 2.7325 3.9590 1.2598 2.1131 -2.4464 2.4387 3.1295" Properties=species:S:1:pos:R:3 comment="PBE-GGA CuPt3Br, optimized geometry" polymorph_energy_kcal_per_mol_atoms=0.00 dos_at_fermi_per_ev_cell=8.98 pbc="T T T"
Pt 1.9795 0.6299 1.0566
Pt -1.2232 1.2193 1.5648
Pt -0.1299 -1.8836 1.3663
Cu 0.0000 0.0000 0.0000
Br 0.6264 -0.0344 3.9876

12.
4
Lattice="-0.7668 3.9575 0.1277 -0.7975 -0.2849 4.0415 5.4873 -1.0245 1.0106" Properties=species:S:1:pos:R:3 comment="PBE-GGA DyHoGeRh, optimized geometry" polymorph_energy_kcal_per_mol_atoms=0.00 formation_energy_ev_per_fu=-3.49 dos_at_fermi_per_ev_cell=2.77 pbc="T T T"
Ho 1.4482 0.2708 0.3049
Ge -0.0004 1.9825 2.2492
Rh 4.2851 0.8012 0.9021
Dy 2.9106 2.5267 2.8620